## Re2AgP (PBE)

Data for an optimized crystal structure of Re2AgP.

## Properties
Space group: Imm2
E (eV/atom): -7.7627

a = 5.288 Å, b = 5.288 Å, c = 5.288 Å
α = 147.29°, β = 131.52°, γ = 59.72°
Positions (direct):
Re  0.000  0.000  0.000
Re  0.739  0.239  0.500
Ag  0.290  0.790  0.500
P  0.537  0.537  0.000

## Re2AgP (PBE)

Data for an optimized crystal structure of Re2AgP.

## Properties
Space group: R3m
E (eV/atom): -8.0837

a = 9.011 Å, b = 9.011 Å, c = 9.011 Å
α = 18.15°, β = 18.15°, γ = 18.15°
Positions (direct):
Re  0.000  0.000  0.000
Re  0.252  0.252  0.252
Ag  0.759  0.759  0.759
P  0.516  0.516  0.516

## Re2AgP (PBE)

Data for an optimized crystal structure of Re2AgP.

## Properties
Space group: R-3m
E (eV/atom): -8.0250

a = 8.738 Å, b = 8.738 Å, c = 8.738 Å
α = 18.68°, β = 18.68°, γ = 18.68°
Positions (direct):
Re  0.238  0.238  0.238
Re  0.762  0.762  0.762
Ag  0.000  0.000  0.000
P  0.500  0.500  0.500

## ReAg2P (PBE)

Data for an optimized crystal structure of ReAg2P.

## Properties
Space group: Immm
E (eV/atom): -5.4584

a = 6.775 Å, b = 6.775 Å, c = 6.775 Å
α = 155.48°, β = 147.43°, γ = 41.19°
Positions (direct):
Re  0.000  0.000  0.000
Ag  0.313  0.813  0.500
Ag  0.687  0.187  0.500
P  0.500  0.500  0.000

## Re2AgP (PBE)

Data for an optimized crystal structure of Re2AgP.

## Properties
Space group: P2/m
E (eV/atom): -7.8379

a = 2.951 Å, b = 3.786 Å, c = 5.548 Å
α = 90.00°, β = 103.69°, γ = 90.00°
Positions (direct):
Re  0.139  0.000  0.283
Re  0.861  0.000  0.717
Ag  0.500  0.500  0.000
P  0.500  0.500  0.500

## ReAg2P (PBE)

Data for an optimized crystal structure of ReAg2P.

## Properties
Space group: I-42d
E (eV/atom): -5.1011

a = 5.856 Å, b = 5.856 Å, c = 5.856 Å
α = 99.92°, β = 99.92°, γ = 130.95°
Positions (direct):
Re  0.000  0.000  0.000
Re  0.750  0.250  0.500
Ag  0.168  0.125  0.543
Ag  0.375  0.832  0.957
Ag  0.582  0.625  0.457
Ag  0.875  0.418  0.043
P  0.250  0.750  0.500
P  0.500  0.500  0.000

## ReAg2P (PBE)

Data for an optimized crystal structure of ReAg2P.

## Properties
Space group: C2/m
E (eV/atom): -5.2571

a = 5.520 Å, b = 5.520 Å, c = 2.752 Å
α = 98.05°, β = 98.05°, γ = 125.78°
Positions (direct):
Re  0.000  0.000  0.000
Ag  0.000  0.500  0.500
Ag  0.500  0.000  0.500
P  0.500  0.500  0.000

## ReAg2P (PBE)

Data for an optimized crystal structure of ReAg2P.

## Properties
Space group: Pmmm
E (eV/atom): -5.3065

a = 2.960 Å, b = 4.290 Å, c = 4.991 Å
α = 90.00°, β = 90.00°, γ = 90.00°
Positions (direct):
Re  0.000  0.000  0.000
Ag  0.000  0.500  0.500
Ag  0.500  0.000  0.500
P  0.500  0.500  0.000

## ReAg2P (PBE)

Data for an optimized crystal structure of ReAg2P.

## Properties
Space group: P2/m
E (eV/atom): -5.3229

a = 2.802 Å, b = 5.009 Å, c = 4.770 Å
α = 90.00°, β = 96.21°, γ = 90.00°
Positions (direct):
Re  0.000  0.000  0.000
Ag  0.272  0.500  0.750
Ag  0.728  0.500  0.250
P  0.000  0.000  0.500

## ReAg2P (PBE)

Data for an optimized crystal structure of ReAg2P.

## Properties
Space group: P4/mmm
E (eV/atom): -5.2584

a = 2.696 Å, b = 2.696 Å, c = 9.027 Å
α = 90.00°, β = 90.00°, γ = 90.00°
Positions (direct):
Re  0.000  0.000  0.000
Ag  0.500  0.500  0.249
Ag  0.500  0.500  0.751
P  0.000  0.000  0.500

## ReAg2P (PBE)

Data for an optimized crystal structure of ReAg2P.

## Properties
Space group: F-43m
E (eV/atom): -5.1906

a = 4.451 Å, b = 4.451 Å, c = 4.451 Å
α = 60.00°, β = 60.00°, γ = 60.00°
Positions (direct):
Re  0.000  0.000  0.000
Ag  0.500  0.500  0.500
Ag  0.750  0.750  0.750
P  0.250  0.250  0.250

## Re2AgP (PBE)

Data for an optimized crystal structure of Re2AgP.

## Properties
Space group: Cmm2
E (eV/atom): -7.8327

a = 2.769 Å, b = 2.769 Å, c = 9.295 Å
α = 90.00°, β = 90.00°, γ = 116.30°
Positions (direct):
Re  0.000  0.000  0.000
Re  0.500  0.500  0.236
Ag  0.000  0.000  0.507
P  0.500  0.500  0.788

What are the energy of formation from the pure elements values for these records? In order: 203 79 102 167 174 305 244 225 219 244 270 176 kJ/mol of formula units.